1.
## Rb2PtI6 (PBE)

Data for a relaxed structure of Rb2PtI6.

Lattice parameters (Å, degrees): 8.102 8.102 8.102 120.78 120.78 88.66
Fractional coordinates of all 9 atoms:
Rb 0.250 0.750 0.500
Rb 0.750 0.250 0.500
Pt 0.000 0.000 0.000
I 0.217 0.740 0.956
I 0.234 0.234 0.000
I 0.260 0.217 0.477
I 0.740 0.783 0.523
I 0.766 0.766 0.000
I 0.783 0.260 0.044

E = -24.166 eV/cell

2.
## CsRbCd2Sb2 (PBE)

Data for a relaxed structure of CsRbCd2Sb2.

Lattice parameters (Å, degrees): 4.899 4.899 11.622 90.00 90.00 120.00
Fractional coordinates of all 6 atoms:
Cs 0.000 0.000 0.000
Rb 0.000 0.000 0.500
Cd 0.333 0.667 0.259
Cd 0.667 0.333 0.741
Sb 0.333 0.667 0.742
Sb 0.667 0.333 0.258

ΔE to the lowest computed polymorph = 0.000 eV/f.u.

3.
## PmBeAl (PBE)

Data for a relaxed structure of PmBeAl.

Lattice parameters (Å, degrees): 4.720 4.720 4.720 60.00 60.00 60.00
Fractional coordinates of all 3 atoms:
Pm 0.000 0.000 0.000
Be 0.250 0.250 0.250
Al 0.750 0.750 0.750

E = -10.216 eV/cell

4.
## Dy4YLu2Ni2Se2 (PBE)

Data for a relaxed structure of Dy4YLu2Ni2Se2.

Lattice parameters (Å, degrees): 9.039 9.039 9.039 155.77 67.47 118.12
Fractional coordinates of all 11 atoms:
Dy 0.126 0.000 0.126
Dy 0.204 0.846 0.358
Dy 0.489 0.846 0.642
Dy 0.874 0.000 0.874
Y 0.586 0.586 0.000
Lu 0.521 0.204 0.317
Lu 0.887 0.204 0.683
Ni 0.275 0.513 0.762
Ni 0.751 0.513 0.238
Se 0.249 0.249 0.000
Se 0.843 0.343 0.500

E = -61.106 eV/cell